(1)
Entry from Alexandria via LeMat-Bulk: an optimized crystal structure of NbFeIr2 (PBE-GGA).

Results
- formation energy (eV per atom) = 0.247
- total DFT energy (no corrections) (eV per cell) = -141.06
- total magnetization (μB/atom) = 0.49

Geometry as CIF:
```
data_NbFeIr2
_cell_length_a 3.815
_cell_length_b 3.815
_cell_length_c 17.440
_cell_angle_alpha 90.00
_cell_angle_beta 90.00
_cell_angle_gamma 90.00
_symmetry_space_group_name_H-M 'I -4 2 d'
_symmetry_Int_Tables_number 122
_symmetry_space_group_name_Hall 'I -4 2bw'
loop_
_atom_site_label
_atom_site_type_symbol
_atom_site_fract_x
_atom_site_fract_y
_atom_site_fract_z
Nb1 Nb 0.000 0.000 0.000
Fe1 Fe 0.000 0.000 0.500
Ir1 Ir 0.221 0.250 0.625
```



(2)
Entry from Alexandria via LeMat-Bulk: an optimized crystal structure of Nb3FeIr (PBE-GGA).

Results
- formation energy (eV per atom) = 0.679
- total DFT energy (no corrections) (eV per cell) = -44.14
- excess energy over the best structure of this formula in the dataset (eV per atom) = 0.000
- total magnetization (μB/atom) = 0.00

Geometry as CIF:
```
data_Nb3FeIr
_cell_length_a 4.511
_cell_length_b 4.511
_cell_length_c 4.511
_cell_angle_alpha 90.00
_cell_angle_beta 90.00
_cell_angle_gamma 90.00
_symmetry_space_group_name_H-M 'P m -3 m'
_symmetry_Int_Tables_number 221
_symmetry_space_group_name_Hall '-P 4 2 3'
loop_
_atom_site_label
_atom_site_type_symbol
_atom_site_fract_x
_atom_site_fract_y
_atom_site_fract_z
Nb1 Nb 0.000 0.000 0.500
Fe1 Fe 0.000 0.000 0.000
Ir1 Ir 0.500 0.500 0.500
```



(3)
Entry from Alexandria via LeMat-Bulk: an optimized crystal structure of NbFe4Ir (PBE-GGA).

Results
- formation energy (eV per atom) = -0.176
- total DFT energy (no corrections) (eV per cell) = -215.35
- total magnetization (μB/atom) = 1.12

Geometry as CIF:
```
data_NbFe4Ir
_cell_length_a 6.719
_cell_length_b 6.719
_cell_length_c 6.719
_cell_angle_alpha 90.00
_cell_angle_beta 90.00
_cell_angle_gamma 90.00
_symmetry_space_group_name_H-M 'F -4 3 m'
_symmetry_Int_Tables_number 216
_symmetry_space_group_name_Hall 'F -4 2 3'
loop_
_atom_site_label
_atom_site_type_symbol
_atom_site_fract_x
_atom_site_fract_y
_atom_site_fract_z
Nb1 Nb 0.000 0.000 0.000
Fe1 Fe 0.125 0.125 0.375
Ir1 Ir 0.250 0.250 0.750
```



(4)
Entry from Alexandria via LeMat-Bulk: an optimized crystal structure of Nb2Fe3Ir (PBE-GGA).

Results
- formation energy (eV per atom) = -0.241
- total DFT energy (no corrections) (eV per cell) = -167.51
- total magnetization (μB/atom) = 0.72

Geometry as CIF:
```
data_Nb2Fe3Ir
_cell_length_a 4.8084
_cell_length_b 4.8084
_cell_length_c 12.6205
_cell_angle_alpha 90.00
_cell_angle_beta 90.00
_cell_angle_gamma 120.00
_symmetry_space_group_name_H-M 'R -3 m'
_symmetry_Int_Tables_number 166
_symmetry_space_group_name_Hall '-R 3 2"'
loop_
_atom_site_label
_atom_site_type_symbol
_atom_site_fract_x
_atom_site_fract_y
_atom_site_fract_z
Nb1 Nb 0.0000 0.0000 0.1173
Fe1 Fe 0.0000 0.5000 0.0000
Ir1 Ir 0.0000 0.0000 0.5000
```



(5)
Entry from Alexandria via LeMat-Bulk: an optimized crystal structure of NbFeIr2 (PBE-GGA).

Results
- formation energy (eV per atom) = -0.408
- total DFT energy (no corrections) (eV per cell) = -37.89
- total magnetization (μB/atom) = 0.33

Geometry as CIF:
```
data_NbFeIr2
_cell_length_a 3.895
_cell_length_b 3.895
_cell_length_c 3.818
_cell_angle_alpha 90.00
_cell_angle_beta 90.00
_cell_angle_gamma 90.00
_symmetry_space_group_name_H-M 'P 4/m m m'
_symmetry_Int_Tables_number 123
_symmetry_space_group_name_Hall '-P 4 2'
loop_
_atom_site_label
_atom_site_type_symbol
_atom_site_fract_x
_atom_site_fract_y
_atom_site_fract_z
Nb1 Nb 0.000 0.000 0.000
Fe1 Fe 0.500 0.500 0.000
Ir1 Ir 0.000 0.500 0.500
```



(6)
Entry from Alexandria via LeMat-Bulk: an optimized crystal structure of NbFe2IrOs (PBE-GGA).

Results
- formation energy (eV per atom) = 1.568
- total DFT energy (no corrections) (eV per cell) = -39.25
- total magnetization (μB/atom) = 0.00

Geometry as CIF:
```
data_NbFe2IrOs
_cell_length_a 4.340
_cell_length_b 4.340
_cell_length_c 4.767
_cell_angle_alpha 90.00
_cell_angle_beta 90.00
_cell_angle_gamma 90.00
_symmetry_space_group_name_H-M 'P 4/m m m'
_symmetry_Int_Tables_number 123
_symmetry_space_group_name_Hall '-P 4 2'
loop_
_atom_site_label
_atom_site_type_symbol
_atom_site_fract_x
_atom_site_fract_y
_atom_site_fract_z
Nb1 Nb 0.000 0.000 0.000
Fe1 Fe 0.000 0.500 0.500
Ir1 Ir 0.500 0.500 0.000
Os1 Os 0.500 0.500 0.500
```



(7)
Entry from Alexandria via LeMat-Bulk: an optimized crystal structure of Sc2NbFeIr (PBE-GGA).

Results
- formation energy (eV per atom) = 1.090
- total DFT energy (no corrections) (eV per cell) = -34.61
- total magnetization (μB/atom) = 0.29

Geometry as CIF:
```
data_Sc2NbFeIr
_cell_length_a 4.932
_cell_length_b 4.932
_cell_length_c 4.268
_cell_angle_alpha 90.00
_cell_angle_beta 90.00
_cell_angle_gamma 90.00
_symmetry_space_group_name_H-M 'P 4/m m m'
_symmetry_Int_Tables_number 123
_symmetry_space_group_name_Hall '-P 4 2'
loop_
_atom_site_label
_atom_site_type_symbol
_atom_site_fract_x
_atom_site_fract_y
_atom_site_fract_z
Sc1 Sc 0.000 0.500 0.000
Nb1 Nb 0.000 0.000 0.000
Fe1 Fe 0.000 0.000 0.500
Ir1 Ir 0.500 0.500 0.500
```



(8)
Entry from Alexandria via LeMat-Bulk: an optimized crystal structure of ScNbFeIr (PBE-GGA).

Results
- formation energy (eV per atom) = -0.427
- total DFT energy (no corrections) (eV per cell) = -141.73
- total magnetization (μB/atom) = 0.24

Geometry as CIF:
```
data_ScNbFeIr
_cell_length_a 6.336
_cell_length_b 6.336
_cell_length_c 6.336
_cell_angle_alpha 90.00
_cell_angle_beta 90.00
_cell_angle_gamma 90.00
_symmetry_space_group_name_H-M 'F -4 3 m'
_symmetry_Int_Tables_number 216
_symmetry_space_group_name_Hall 'F -4 2 3'
loop_
_atom_site_label
_atom_site_type_symbol
_atom_site_fract_x
_atom_site_fract_y
_atom_site_fract_z
Sc1 Sc 0.000 0.000 0.000
Nb1 Nb 0.000 0.000 0.500
Fe1 Fe 0.250 0.250 0.250
Ir1 Ir 0.250 0.250 0.750
```



(9)
Entry from Alexandria via LeMat-Bulk: an optimized crystal structure of NbFeTe2Ir (PBE-GGA).

Results
- total DFT energy (no corrections) (eV per cell) = -27.80
- formation energy from raw total energies (eV per atom) = 1.1757
- total magnetization (μB/atom) = 0.32

Geometry as CIF:
```
data_NbFeTe2Ir
_cell_length_a 5.253
_cell_length_b 5.253
_cell_length_c 4.887
_cell_angle_alpha 90.00
_cell_angle_beta 90.00
_cell_angle_gamma 90.00
_symmetry_space_group_name_H-M 'P 4/m m m'
_symmetry_Int_Tables_number 123
_symmetry_space_group_name_Hall '-P 4 2'
loop_
_atom_site_label
_atom_site_type_symbol
_atom_site_fract_x
_atom_site_fract_y
_atom_site_fract_z
Nb1 Nb 0.000 0.000 0.000
Fe1 Fe 0.500 0.500 0.000
Te1 Te 0.000 0.500 0.500
Ir1 Ir 0.000 0.000 0.500
```



(10)
Entry from Alexandria via LeMat-Bulk: an optimized crystal structure of TiNbFe2Ir (PBE-GGA).

Results
- formation energy (eV per atom) = 1.206
- total DFT energy (no corrections) (eV per cell) = -37.72
- total magnetization (μB/atom) = 0.40

Geometry as CIF:
```
data_TiNbFe2Ir
_cell_length_a 4.426
_cell_length_b 4.426
_cell_length_c 4.808
_cell_angle_alpha 90.00
_cell_angle_beta 90.00
_cell_angle_gamma 90.00
_symmetry_space_group_name_H-M 'P 4/m m m'
_symmetry_Int_Tables_number 123
_symmetry_space_group_name_Hall '-P 4 2'
loop_
_atom_site_label
_atom_site_type_symbol
_atom_site_fract_x
_atom_site_fract_y
_atom_site_fract_z
Ti1 Ti 0.000 0.000 0.000
Nb1 Nb 0.500 0.500 0.500
Fe1 Fe 0.000 0.500 0.500
Ir1 Ir 0.500 0.500 0.000
```



(11)
Entry from Alexandria via LeMat-Bulk: an optimized crystal structure of NbVFeIr2 (PBE-GGA).

Results
- formation energy (eV per atom) = 0.905
- total DFT energy (no corrections) (eV per cell) = -40.85
- total magnetization (μB/atom) = 0.03

Geometry as CIF:
```
data_NbVFeIr2
_cell_length_a 4.550
_cell_length_b 4.550
_cell_length_c 4.085
_cell_angle_alpha 90.00
_cell_angle_beta 90.00
_cell_angle_gamma 90.00
_symmetry_space_group_name_H-M 'P 4/m m m'
_symmetry_Int_Tables_number 123
_symmetry_space_group_name_Hall '-P 4 2'
loop_
_atom_site_label
_atom_site_type_symbol
_atom_site_fract_x
_atom_site_fract_y
_atom_site_fract_z
Nb1 Nb 0.000 0.000 0.000
V1 V 0.500 0.500 0.500
Fe1 Fe 0.500 0.500 0.000
Ir1 Ir 0.000 0.500 0.500
```



(12)
Entry from Alexandria via LeMat-Bulk: an optimized crystal structure of NbVFeIr (PBE-GGA).

Results
- formation energy (eV per atom) = -0.205
- total DFT energy (no corrections) (eV per cell) = -149.33
- total magnetization (μB/atom) = 0.62

Geometry as CIF:
```
data_NbVFeIr
_cell_length_a 6.119
_cell_length_b 6.119
_cell_length_c 6.119
_cell_angle_alpha 90.00
_cell_angle_beta 90.00
_cell_angle_gamma 90.00
_symmetry_space_group_name_H-M 'F -4 3 m'
_symmetry_Int_Tables_number 216
_symmetry_space_group_name_Hall 'F -4 2 3'
loop_
_atom_site_label
_atom_site_type_symbol
_atom_site_fract_x
_atom_site_fract_y
_atom_site_fract_z
Nb1 Nb 0.000 0.000 0.000
V1 V 0.250 0.250 0.250
Fe1 Fe 0.250 0.250 0.750
Ir1 Ir 0.000 0.000 0.500
```



Number 12 is which compound?
NbVFeIr